Compound: TaRuCl2
Source: Alexandria
Functional: PBE
Structure: relaxed

a = 5.647 Å, b = 5.647 Å, c = 6.322 Å
α = 63.47°, β = 63.47°, γ = 90.00°
Sites, in units of the cell vectors:
Ru 0.500 0.500 0.000
Ru 0.250 0.750 0.500
Cl 0.616 0.125 0.250
Cl 0.134 0.625 0.250
Cl 0.375 0.384 0.750
Cl 0.875 0.866 0.750
Ta 0.000 0.000 0.000
Ta 0.750 0.250 0.500

Properties
Symmetry: I-42d (122)
VASP energy: -43.0 eV/cell
Uncorrected formation energy: 0.8278 eV per atom
Magnetization: 0.00 μB per cell